No. 1
Al2InAs | PBE-GGA | optimized geometry

```
4
Lattice="0.000 3.444 3.444 3.444 0.000 3.444 3.444 3.444 0.000" Properties=species:S:1:pos:R:3 pbc="T T T"
As 0.000 0.000 0.000
Al 1.722 1.722 1.722
In 3.444 3.444 3.444
Al 5.166 5.166 5.166
```

Properties
The distance to the lowest polymorph of the same formula is 5.540 kcal/mol of atoms. The value obtained for the formation energy is 0.2167 eV/atom. As for the symmetry: Fm-3m, No. 225.

No. 2
Ho8GaS6 | PBE-GGA | optimized geometry

```
15
Lattice="3.889 0.000 0.000 0.000 8.762 -5.059 0.000 0.000 10.118" Properties=species:S:1:pos:R:3 pbc="T T T"
Ho 0.981 2.586 1.835
Ho 2.908 2.882 -1.322
S 2.916 5.710 -1.929
Ho 2.910 2.921 5.059
S 0.973 4.526 3.980
Ga 1.945 0.000 0.000
S 2.916 4.237 1.079
S 2.916 7.578 0.850
Ho 2.908 6.176 3.224
Ho 0.981 0.296 6.961
Ho 0.979 5.842 0.000
Ho 0.981 5.880 6.381
Ho 2.908 8.467 -1.902
S 0.973 1.184 4.209
S 0.973 3.053 6.988
```

Properties
As for the symmetry: P-3, No. 147. The value obtained for the uncorrected formation energy is -1491 meV per atom.

No. 3
PrNd4Se6 | PBE-GGA | optimized geometry

```
22
Lattice="-2.656 -1.458 -2.831 4.412 -5.493 1.726 -13.415 -5.871 15.610" Properties=species:S:1:pos:R:3 pbc="T T T"
Se -1.328 -0.729 -1.416
Se -6.514 -6.349 9.381
Nd -5.316 -4.458 7.284
Nd -6.343 -8.363 7.221
Nd -9.200 -5.523 8.439
Se -4.133 -2.611 5.222
Pr -7.936 -8.691 11.922
Se -1.438 -5.333 4.095
Pr -3.723 -4.131 2.583
Se -10.759 -8.207 14.321
Nd 0.345 -1.981 0.696
Nd -2.460 -7.298 6.066
Nd -12.480 -6.959 12.256
Se -1.921 -1.643 2.649
Se -7.527 -10.210 9.283
Se -0.900 -4.615 0.184
Se -5.145 -6.473 5.124
Nd 0.821 -5.863 2.249
Nd -12.005 -10.841 13.809
Se -10.222 -7.489 10.410
Se -8.036 -3.665 6.390
Se -9.738 -11.178 11.856
```

Properties
As for the symmetry: Cmcm, No. 63. The value obtained for the uncorrected formation energy is -1864 meV per atom.

No. 4
MnRe3 | PBE-GGA | optimized geometry

```
8
Lattice="2.730 -4.711 0.000 2.730 4.711 0.000 0.000 0.000 4.391" Properties=species:S:1:pos:R:3 pbc="T T T"
Re 4.054 -1.542 1.098
Re 2.730 -3.906 1.098
Re 4.054 1.542 3.293
Mn 2.730 -0.765 3.293
Re 1.406 -1.542 1.098
Re 1.406 1.542 3.293
Mn 2.730 0.765 1.098
Re 2.730 3.906 3.293
```

Properties
The value obtained for the formation energy is 0.0654 eV/atom. As for the symmetry: Cmcm, No. 63.

No. 5
Tb2Pt3Au2 | PBE-GGA | optimized geometry

```
7
Lattice="3.922 0.000 0.000 -1.961 6.032 0.610 0.000 -2.559 5.962" Properties=species:S:1:pos:R:3 pbc="T T T"
Tb 0.000 1.728 1.609
Pt 0.000 3.456 3.876
Pt 1.961 0.017 2.697
Pt 1.961 0.000 0.000
Au 0.000 -0.826 4.599
Tb 1.961 1.745 4.963
Au 1.961 4.299 1.974
```

Properties
The distance to the lowest polymorph of the same formula is 1.214 kcal/mol of atoms. The value obtained for the formation energy is -0.7646 eV/atom. As for the symmetry: C2/m, No. 12.

No. 6
Cs3TmF7 | PBE-GGA | optimized geometry

```
11
Lattice="-2.075 6.484 1.966 -6.619 -1.856 -1.718 -4.779 0.452 4.871" Properties=species:S:1:pos:R:3 pbc="T T T"
Cs -4.181 2.146 0.301
Cs -7.899 0.269 1.632
F -2.771 4.307 1.782
F -4.310 1.977 3.687
Cs -5.478 4.711 3.594
F -5.389 -0.497 -0.340
F -1.677 0.539 0.849
F -5.229 0.292 2.942
Tm -8.462 4.379 0.524
F -8.107 3.357 2.401
F -11.363 4.160 4.598
```

Properties
As for the symmetry: Cm, No. 8. The value obtained for the uncorrected formation energy is -3054 meV per atom.

No. 7
KLa2Br8 | PBE-GGA | optimized geometry

```
11
Lattice="5.725 0.326 0.489 -0.488 8.683 -0.230 -0.488 -3.557 7.925" Properties=species:S:1:pos:R:3 pbc="T T T"
K 2.863 0.163 0.245
Br 4.927 6.090 5.624
Br -0.177 -0.638 2.559
Br 4.927 2.845 7.787
Br 3.788 2.801 4.204
La -0.488 4.994 2.227
La -0.488 0.132 5.467
Br 0.961 2.651 3.979
Br 2.375 -0.277 6.092
Br -0.177 2.607 0.397
Br 2.375 5.729 2.091
```

Properties
The distance to the lowest polymorph of the same formula is 0.000 kcal/mol of atoms. As for the symmetry: C2/m, No. 12. The value obtained for the uncorrected formation energy is -1752 meV per atom.

No. 8
LaScAgAs2 | PBE-GGA | optimized geometry

```
5
Lattice="-1.737 5.234 0.422 -5.080 -1.748 0.771 0.880 -0.149 5.458" Properties=species:S:1:pos:R:3 pbc="T T T"
As -0.868 2.617 0.211
Ag -2.540 -0.874 0.386
Sc -2.969 1.669 3.326
La 0.000 0.000 0.000
As 0.440 -0.074 2.729
```

Properties
The value obtained for the formation energy is 0.4700 eV/atom. As for the symmetry: P4/mmm, No. 123.

No. 9
Ho6ScPd2 | PBE-GGA | optimized geometry

```
9
Lattice="-1.860 -2.534 1.850 -4.597 -3.394 -5.674 4.438 -7.109 -1.681" Properties=species:S:1:pos:R:3 pbc="T T T"
Ho -4.971 -6.780 -3.496
Pd -2.637 -5.193 -2.572
Sc -0.079 -5.252 -3.677
Ho -0.099 -5.514 -0.461
Ho -1.919 -7.524 -5.043
Ho -0.514 -10.469 -4.068
Pd 0.619 -7.845 -2.932
Ho -1.505 -2.569 -1.436
Ho 2.953 -6.258 -2.008
```

Properties
The value obtained for the formation energy is -0.3869 eV/atom. As for the symmetry: C2/m, No. 12.

No. 10
V2MoRh8 | PBE-GGA | optimized geometry

```
11
Lattice="-3.679 -1.035 1.235 1.080 -6.194 -1.975 3.507 2.264 5.813" Properties=species:S:1:pos:R:3 pbc="T T T"
Rh 1.294 0.384 4.177
Rh 0.667 -0.408 1.645
V 1.422 -3.637 1.187
V -0.514 -1.329 3.885
Mo -1.839 -0.518 0.617
Rh 0.756 -4.334 -1.382
Rh 0.152 -0.632 6.455
Rh 0.241 -4.557 3.428
Rh 1.753 -2.249 3.338
Rh -0.387 -5.349 0.896
Rh -0.846 -2.717 1.735
```

Properties
The value obtained for the formation energy is -0.2089 eV/atom. As for the symmetry: Immm, No. 71.

No. 11
TaCdH | PBE-GGA | optimized geometry

```
6
Lattice="5.302 -0.001 -0.002 0.000 3.129 0.000 -0.015 0.000 5.131" Properties=species:S:1:pos:R:3 pbc="T T T"
Cd 0.481 2.365 4.192
Ta 1.245 0.799 1.657
Cd 3.154 0.800 4.320
Ta 4.142 2.363 1.627
H 2.246 2.363 1.334
H 3.155 0.799 2.154
```

Properties
The distance to the lowest polymorph of the same formula is 0.868 kcal/mol of atoms. As for the symmetry: Pm, No. 6.

No. 12
BaZr2Sc | PBE-GGA | optimized geometry

```
4
Lattice="-2.419 -2.627 -5.665 1.076 -6.407 -1.627 -2.562 4.604 4.133" Properties=species:S:1:pos:R:3 pbc="T T T"
Zr -0.643 -4.324 -3.491
Ba -2.827 -1.270 -2.589
Sc -1.079 -3.160 -0.570
Zr -0.029 -0.192 -0.155
```

Properties
The distance to the lowest polymorph of the same formula is 5.083 kcal/mol of atoms. The value obtained for the formation energy is 0.5026 eV/atom. As for the symmetry: Immm, No. 71.

no.,Fermi-level density of states (states/eV/cell)
1,2.1
2,10.3
3,5.9
4,8.8
5,1.8
6,0.1
7,6.0
8,4.5
9,10.2
10,10.8
11,1.0
12,5.8